Cs2ZnNCl6 | PBE-GGA | optimized geometry

Cell and atoms, written as CIF:
```
data_Cs2ZnNCl6
_symmetry_space_group_name_H-M 'I 4/m m m'
_symmetry_Int_Tables_number 139
_symmetry_space_group_name_Hall '-I 4 2'
_cell_length_a 7.133
_cell_length_b 7.133
_cell_length_c 11.152
_cell_angle_alpha 90.00
_cell_angle_beta 90.00
_cell_angle_gamma 90.00
loop_
_atom_site_label
_atom_site_type_symbol
_atom_site_fract_x
_atom_site_fract_y
_atom_site_fract_z
_atom_site_occupancy
Cs1 Cs 0.000 0.500 0.250 1
Zn1 Zn 0.000 0.000 0.000 1
N1 N 0.000 0.000 0.500 1
Cl1 Cl 0.000 0.000 0.196 1
Cl2 Cl 0.218 0.218 0.500 1
```

Properties
Volume = 567 Å³/cell
Crystal system = tetragonal
Formation energy from raw total energies = -710.2 meV per atom
Fermi-level density of states = 0.00 states/eV/f.u.

MnGaPd3 | PBE-GGA | optimized geometry

Cell and atoms, written as CIF:
```
data_MnGaPd3
_symmetry_space_group_name_H-M 'C 1 2/c 1'
_symmetry_Int_Tables_number 15
_symmetry_space_group_name_Hall '-C 2yc'
_cell_length_a 4.398
_cell_length_b 15.591
_cell_length_c 4.395
_cell_angle_alpha 90.00
_cell_angle_beta 96.82
_cell_angle_gamma 90.00
loop_
_atom_site_label
_atom_site_type_symbol
_atom_site_fract_x
_atom_site_fract_y
_atom_site_fract_z
_atom_site_occupancy
Mn1 Mn 0.000 0.150 0.250 1
Ga1 Ga 0.000 0.352 0.250 1
Pd1 Pd 0.000 0.058 0.750 1
Pd2 Pd 0.000 0.251 0.750 1
Pd3 Pd 0.000 0.441 0.750 1
```

Properties
Volume = 299 Å³/cell
Crystal system = monoclinic
Energy of formation from the pure elements = -0.4381 eV/atom
Fermi-level density of states = 1.83 states/eV/f.u.
Energy above the lowest structure with this stoichiometry = 0.0 meV per atom

CuSiCBr2 | PBE-GGA | optimized geometry

Cell and atoms, written as CIF:
```
data_CuSiCBr2
_symmetry_space_group_name_H-M 'P 4/m m m'
_symmetry_Int_Tables_number 123
_symmetry_space_group_name_Hall '-P 4 2'
_cell_length_a 5.227
_cell_length_b 5.227
_cell_length_c 4.525
_cell_angle_alpha 90.00
_cell_angle_beta 90.00
_cell_angle_gamma 90.00
loop_
_atom_site_label
_atom_site_type_symbol
_atom_site_fract_x
_atom_site_fract_y
_atom_site_fract_z
_atom_site_occupancy
Cu1 Cu 0.000 0.000 0.000 1
Si1 Si 0.000 0.000 0.500 1
C1 C 0.500 0.500 0.000 1
Br1 Br 0.000 0.500 0.500 1
```

Properties
Volume = 124 Å³/cell
Crystal system = tetragonal
Formation energy from raw total energies = 1584.3 meV per atom
Fermi-level density of states = 7.17 states/eV/f.u.

The lowest Fermi-level density of states belongs to which entry?
Cs2ZnNCl6

Which value of volume does entry 3 give?
124 Å³/cell

Which formula does entry 1 have?
Cs2ZnNCl6